Here is an optimized crystal structure of Co2OsPb2 from Alexandria via LeMat-Bulk. Energies are from PBE-GGA.

## Properties
As for the final energy: -51.56 eV/cell. The calculation puts the density of states at the Fermi level at 11.73 states/eV per cell. The formation energy comes out at 1.42 eV per atom. The value obtained for the magnetization is 4.0 μB per formula unit.

Lattice parameters (Å, degrees): 4.206 4.206 10.861 90.00 90.00 90.00
Space group I4/mmm (No. 139)
Inequivalent atoms, fractional coordinates:
1 Co 0.000 0.000 0.098 (multiplicity 4)
2 Os 0.000 0.000 0.500 (multiplicity 2)
3 Pb 0.000 0.500 0.250 (multiplicity 4)

***

Here is an optimized crystal structure of NaCdHgBi from Alexandria via LeMat-Bulk. Energies are from PBE-GGA.

## Properties
As for the final energy: -28.24 eV/cell. The calculation puts the density of states at the Fermi level at 4.97 states/eV per cell. The formation energy comes out at -0.16 eV per atom. The value obtained for the magnetization is 0.0 μB per formula unit.

Lattice parameters (Å, degrees): 7.495 7.495 7.495 90.00 90.00 90.00
Space group F-43m (No. 216)
Inequivalent atoms, fractional coordinates:
1 Na 0.000 0.000 0.000 (multiplicity 4)
2 Cd 0.000 0.000 0.500 (multiplicity 4)
3 Hg 0.250 0.250 0.750 (multiplicity 4)
4 Bi 0.250 0.250 0.250 (multiplicity 4)